Material: Ho8MgIn5
Method: DFT, GGA-PBE
State: optimized geometry Values from VASP.

Summary:
**Density**: 7.9 g cm⁻³
**Symmetry**: I-4
**Calculated formation energy**: -0.22 eV per atom
**Spin magnetization**: 0.00 Bohr magnetons per cell

Cell and atoms, written as Quantum ESPRESSO input:
```
&SYSTEM
  ibrav = 0, nat = 14, ntyp = 3
/
ATOMIC_SPECIES
In 114.82 In.upf
Ho 164.93 Ho.upf
Mg 24.30 Mg.upf
ATOMIC_POSITIONS crystal
In 0.0174 0.3783 0.1375
In 0.5000 0.0000 0.5000
In 0.8625 0.8799 0.2408
In 0.7592 0.6217 0.6391
In 0.3609 0.1201 0.9826
Ho 0.9565 0.0937 0.7181
Ho 0.7519 0.2382 0.3528
Ho 0.1373 0.7617 0.0435
Ho 0.6244 0.9063 0.8627
Ho 0.2819 0.2383 0.3756
Ho 0.6472 0.3991 0.8853
Ho 0.1147 0.7618 0.5137
Ho 0.4863 0.6009 0.2481
Mg 0.2500 0.5000 0.7500
CELL_PARAMETERS angstrom
-5.0902 -6.1688 -0.9868
7.0295 -1.7074 -3.5508
1.1849 1.2394 7.8738
```

Material: Tm2AgHg
Method: DFT, GGA-PBE
State: optimized geometry Values from VASP.

Summary:
**Density**: 11.2 g cm⁻³
**ΔE to the lowest computed polymorph**: 0.003 eV per atom
**Symmetry**: Fm-3m
**Calculated formation energy**: -0.41 eV per atom
**Spin magnetization**: 0.00 Bohr magnetons per cell

Cell and atoms, written as Quantum ESPRESSO input:
```
&SYSTEM
  ibrav = 0, nat = 4, ntyp = 3
/
ATOMIC_SPECIES
Tm 168.93 Tm.upf
Ag 107.87 Ag.upf
Hg 200.59 Hg.upf
ATOMIC_POSITIONS crystal
Tm 0.2500 0.2500 0.2500
Tm 0.7500 0.7500 0.7500
Ag 0.5000 0.5000 0.5000
Hg 0.0000 0.0000 0.0000
CELL_PARAMETERS angstrom
-2.6904 -4.3261 -0.6411
1.9296 -4.4834 1.5938
-2.0475 -2.3763 4.0652
```

Material: Rb2NiCl7
Method: DFT, GGA-PBE
State: optimized geometry Values from VASP.

Summary:
**Energy relative to the elements, uncorrected**: -0.973 eV per atom
**Density**: 2.8 g cm⁻³
**ΔE to the lowest computed polymorph**: 0.007 eV per atom
**Symmetry**: I4/mmm
**Spin magnetization**: 0.00 Bohr magnetons per cell

Cell and atoms, written as Quantum ESPRESSO input:
```
&SYSTEM
  ibrav = 0, nat = 10, ntyp = 3
/
ATOMIC_SPECIES
Rb 85.47 Rb.upf
Cl 35.45 Cl.upf
Ni 58.69 Ni.upf
ATOMIC_POSITIONS crystal
Rb 0.2500 0.7500 0.5000
Rb 0.7500 0.2500 0.5000
Cl 0.2044 0.2044 0.0000
Cl 0.7470 0.7470 0.5060
Cl 0.2044 0.7956 0.0000
Cl 0.5000 0.5000 0.0000
Cl 0.2530 0.2530 0.4940
Cl 0.7956 0.2044 0.0000
Cl 0.7956 0.7956 0.0000
Ni 0.0000 0.0000 0.0000
CELL_PARAMETERS angstrom
7.6878 0.0000 0.0000
0.0000 7.6878 0.0000
3.8439 3.8439 4.7667
```